Below is a relaxed KCoS2N crystal, with properties calculated at the PBE level.

Calculated values
* energy relative to the elements, uncorrected: 18.2 kJ/mol of atoms
* V: 87.0 Å³/cell

abc: 5.059 5.059 3.401
angles: 90.00 90.00 90.00
Sites, in units of the cell vectors:
K (0.000, 0.000, 0.000)
Co (0.500, 0.500, 0.500)
S (0.000, 0.500, 0.500)
S (0.500, 0.000, 0.500)
N (0.500, 0.500, 0.000)


Below is a relaxed K2CoSeN crystal, with properties calculated at the PBE level.

Calculated values
* energy relative to the elements, uncorrected: -17.7 kJ/mol of atoms
* V: 123.1 Å³/cell

abc: 6.014 6.014 3.403
angles: 90.00 90.00 90.00
Sites, in units of the cell vectors:
K (0.000, 0.500, 0.000)
K (0.500, 0.000, 0.000)
Co (0.000, 0.000, 0.500)
Se (0.500, 0.500, 0.500)
N (0.000, 0.000, 0.000)


Below is a relaxed KCoTc2N crystal, with properties calculated at the PBE level.

Calculated values
* energy relative to the elements, uncorrected: 215.2 kJ/mol of atoms
* V: 124.1 Å³/cell

abc: 4.413 4.413 6.371
angles: 90.00 90.00 90.00
Sites, in units of the cell vectors:
K (0.000, 0.000, 0.000)
Co (0.000, 0.000, 0.500)
Tc (0.000, 0.500, 0.500)
Tc (0.500, 0.000, 0.500)
N (0.500, 0.500, 0.000)


Below is a relaxed KCoTeN2 crystal, with properties calculated at the PBE level.

Calculated values
* energy relative to the elements, uncorrected: 239.8 kJ/mol of atoms
* V: 154.1 Å³/cell

abc: 4.715 4.715 6.933
angles: 90.00 90.00 90.00
Sites, in units of the cell vectors:
K (0.000, 0.000, 0.000)
Co (0.500, 0.500, 0.500)
Te (0.000, 0.000, 0.500)
N (0.000, 0.500, 0.000)
N (0.500, 0.000, 0.000)


Below is a relaxed KCoTeN2 crystal, with properties calculated at the PBE level.

Calculated values
* energy relative to the elements, uncorrected: 110.7 kJ/mol of atoms
* V: 90.2 Å³/cell

abc: 4.162 4.162 5.207
angles: 90.00 90.00 90.00
Sites, in units of the cell vectors:
K (0.000, 0.000, 0.000)
Co (0.500, 0.500, 0.500)
Te (0.500, 0.500, 0.000)
N (0.000, 0.500, 0.500)
N (0.500, 0.000, 0.500)


Below is a relaxed K4U3CoN8 crystal, with properties calculated at the PBE level.

Calculated values
* energy relative to the elements, uncorrected: -65.5 kJ/mol of atoms
* V: 261.9 Å³/cell

abc: 7.023 7.023 7.406
angles: 116.70 116.70 56.47
Sites, in units of the cell vectors:
K (0.000, 0.000, 0.000)
K (0.000, 0.500, 0.000)
K (0.500, 0.000, 0.000)
K (0.500, 0.500, 0.000)
U (0.000, 0.000, 0.500)
U (0.000, 0.500, 0.500)
U (0.500, 0.000, 0.500)
Co (0.500, 0.500, 0.500)
N (0.216, 0.715, 0.649)
N (0.223, 0.223, 0.667)
N (0.239, 0.239, 0.314)
N (0.285, 0.784, 0.351)
N (0.715, 0.216, 0.649)
N (0.761, 0.761, 0.686)
N (0.777, 0.777, 0.333)
N (0.784, 0.285, 0.351)


Values of E_tot, in order: -4.77 -4.41 -5.22 -3.11 -4.45 -7.68, all in eV/atom.
Values of total moment, in order: 0.0 0.8 2.1 7.9 4.5 1.0, all in μB/cell.
Values of Fermi-level density of states, in order: 4.6 6.1 5.0 5.5 3.2 3.4, all in states/eV per cell.